[1]
BaZrCr (GGA-PBE, relaxed); distance to the lowest polymorph of the same formula = 0.000 eV per atom; DFT total energy = -6.033 eV/atom; Fermi-level density of states = 3.4 states/eV/cell; spin magnetization = 0.903 μB per atom; energy of formation from the pure elements = 665 meV per atom
1.0
-1.598 -6.404 -3.282
1.089 -5.165 -5.145
2.136 -2.287 1.560
Zr Cr Ba
1 1 1
Direct
0.708 0.708 0.292
0.304 0.304 0.696
0.988 0.988 0.012

[2]
PaTl3Pt2O9 (GGA-PBE, relaxed); DFT total energy = -6.010 eV/atom; formation energy (no corrections) = -1.124 eV per atom; Fermi-level density of states = 8.2 states/eV/cell; spin magnetization = 0.000 μB per atom
1.0
5.834 0.000 0.000
-2.917 5.052 0.000
0.000 0.000 7.245
O Tl Pt Pa
9 3 2 1
Direct
0.173 0.827 0.324
0.000 0.500 0.000
0.500 0.000 0.000
0.173 0.347 0.324
0.500 0.500 0.000
0.827 0.653 0.676
0.347 0.173 0.676
0.653 0.827 0.324
0.827 0.173 0.676
0.000 0.000 0.000
0.333 0.667 0.703
0.667 0.333 0.297
0.333 0.667 0.165
0.667 0.333 0.835
0.000 0.000 0.500

[3]
LiLaPb (GGA-PBE, relaxed); DFT total energy = -4.079 eV/atom; Fermi-level density of states = 5.3 states/eV/cell; spin magnetization = 0.000 μB per atom; energy of formation from the pure elements = -563 meV per atom
1.0
7.970 0.000 0.000
0.000 8.473 -4.892
0.000 0.000 9.783
Pb La Li
8 8 8
Direct
0.274 0.167 0.833
0.774 0.333 0.167
0.774 0.833 0.667
0.774 0.833 0.167
0.274 0.667 0.833
0.234 0.667 0.333
0.274 0.167 0.333
0.734 0.333 0.667
0.004 0.489 0.978
0.504 0.511 0.489
0.000 0.000 0.000
0.504 0.511 0.022
0.500 0.000 0.000
0.004 0.489 0.511
0.504 0.978 0.489
0.004 0.022 0.511
0.712 0.167 0.833
0.821 0.667 0.333
0.212 0.833 0.667
0.212 0.333 0.167
0.212 0.833 0.167
0.712 0.167 0.333
0.321 0.333 0.667
0.712 0.667 0.833

[4]
NaSn2Se3 (GGA-PBE, relaxed); distance to the lowest polymorph of the same formula = 0.000 eV per atom; DFT total energy = -3.915 eV/atom; formation energy (no corrections) = -0.619 eV per atom; Fermi-level density of states = 2.4 states/eV/cell; spin magnetization = 0.000 μB per atom
1.0
-2.678 -1.425 2.888
4.120 -3.616 2.036
1.248 7.050 1.599
Na Se Sn
1 3 2
Direct
0.500 0.500 0.500
0.175 0.675 0.851
0.825 0.325 0.149
0.500 0.000 0.500
0.836 0.836 0.172
0.164 0.164 0.828

[5]
Pm7Dy3Ho (GGA-PBE, relaxed); distance to the lowest polymorph of the same formula = 0.115 eV per atom; DFT total energy = -4.459 eV/atom; Fermi-level density of states = 15.4 states/eV/cell; spin magnetization = 0.000 μB per atom; energy of formation from the pure elements = 236 meV per atom
1.0
-1.126 -3.553 4.554
7.219 -2.381 -3.881
4.775 6.607 2.529
Pm Ho Dy
7 1 3
Direct
0.000 0.500 0.500
0.789 0.791 0.791
0.306 0.016 0.597
0.694 0.403 0.984
0.306 0.597 0.016
0.694 0.984 0.403
0.211 0.209 0.209
0.500 0.500 0.500
0.500 0.000 0.000
0.000 0.795 0.205
0.000 0.205 0.795

[6]
Ac4Si2Ge5 (GGA-PBE, relaxed); DFT total energy = -5.211 eV/atom; formation energy (no corrections) = -0.632 eV per atom; Fermi-level density of states = 4.9 states/eV/cell; spin magnetization = 0.000 μB per atom
1.0
-0.441 -1.233 -4.533
6.614 -3.084 0.196
-3.471 -7.252 2.311
Ge Ac Si
5 4 2
Direct
0.000 0.569 0.350
0.000 0.431 0.650
0.000 0.114 0.125
0.000 0.500 0.000
0.000 0.886 0.875
0.500 0.768 0.131
0.500 0.232 0.869
0.500 0.749 0.620
0.500 0.251 0.380
0.000 0.086 0.623
0.000 0.914 0.377

[7]
Mn2InRhI (GGA-PBE, relaxed); DFT total energy = -4.453 eV/atom; formation energy (no corrections) = 1.543 eV per atom; Fermi-level density of states = 6.4 states/eV/cell; spin magnetization = 1.542 μB per atom
1.0
4.766 0.000 0.000
0.000 5.929 0.000
0.000 0.000 4.766
Rh In Mn I
1 1 2 1
Direct
0.500 0.500 0.500
0.000 0.500 0.000
0.500 0.000 0.000
0.000 0.000 0.500
0.000 0.000 0.000

[8]
Sr2CdBr (GGA-PBE, relaxed); distance to the lowest polymorph of the same formula = 0.015 eV per atom; DFT total energy = -2.347 eV/atom; formation energy (no corrections) = -0.859 eV per atom; Fermi-level density of states = 4.0 states/eV/cell; spin magnetization = 0.006 μB per atom
1.0
-3.490 -2.726 -0.171
0.208 -3.989 1.919
-4.110 1.158 7.973
Sr Br Cd
2 1 1
Direct
0.502 0.502 0.495
0.998 0.998 0.005
0.750 0.750 0.750
0.250 0.250 0.250

[9]
Nd2In5Ag3 (GGA-PBE, relaxed); DFT total energy = -3.467 eV/atom; Fermi-level density of states = 6.6 states/eV/cell; spin magnetization = 0.000 μB per atom; energy of formation from the pure elements = -289 meV per atom
1.0
6.459 0.000 0.000
3.230 8.772 -0.366
3.230 0.991 8.724
In Nd Ag
10 4 6
Direct
0.250 0.500 0.500
0.509 0.241 0.241
0.391 0.259 0.958
0.609 0.741 0.042
0.109 0.042 0.741
0.750 0.500 0.500
0.991 0.759 0.759
0.891 0.958 0.259
0.009 0.241 0.241
0.491 0.759 0.759
0.869 0.389 0.873
0.131 0.611 0.127
0.369 0.873 0.389
0.631 0.127 0.611
0.870 0.761 0.500
0.630 0.500 0.239
0.250 0.000 0.000
0.130 0.239 0.500
0.370 0.500 0.761
0.750 0.000 0.000

[10]
K2CeAs2S6 (GGA-PBE, relaxed); DFT total energy = -4.723 eV/atom; formation energy (no corrections) = -0.887 eV per atom; spin magnetization = 0.000 μB per atom
1.0
7.174 0.000 0.000
-3.587 5.533 -0.050
0.000 -3.137 7.868
As S Ce K
2 6 1 2
Direct
0.075 0.150 0.210
0.925 0.850 0.790
0.298 0.093 0.772
0.753 0.506 0.541
0.204 0.907 0.228
0.702 0.907 0.228
0.796 0.093 0.772
0.247 0.494 0.459
0.500 0.000 0.500
0.309 0.617 0.861
0.691 0.383 0.139

[11]
Li3MnCr2S6 (GGA-PBE, relaxed); DFT total energy = -5.840 eV/atom; formation energy (no corrections) = -0.930 eV per atom; Fermi-level density of states = 4.7 states/eV/cell; spin magnetization = 0.834 μB per atom
1.0
-5.244 3.055 0.738
0.787 -5.433 2.690
3.743 3.498 3.646
Li S Mn Cr
3 6 1 2
Direct
0.164 0.836 0.500
0.500 0.500 0.500
0.836 0.164 0.500
0.925 0.586 0.775
0.586 0.925 0.775
0.263 0.263 0.776
0.075 0.414 0.225
0.414 0.075 0.225
0.737 0.737 0.224
0.000 0.000 0.000
0.333 0.667 0.000
0.667 0.333 0.000

[12]
LiTlHRh2 (GGA-PBE, relaxed); DFT total energy = -4.662 eV/atom; Fermi-level density of states = 2.7 states/eV/cell; spin magnetization = 0.000 μB per atom
1.0
4.012 0.000 0.000
0.000 4.012 0.000
0.000 0.000 4.005
H Tl Rh Li
1 1 2 1
Direct
0.000 0.000 0.000
0.500 0.500 0.500
0.000 0.500 0.000
0.500 0.000 0.000
0.000 0.000 0.500

[13]
Al2CdCu (GGA-PBE, relaxed); DFT total energy = -3.123 eV/atom; Fermi-level density of states = 0.8 states/eV/cell; spin magnetization = 0.000 μB per atom; energy of formation from the pure elements = 1 meV per atom
1.0
-4.400 0.788 7.538
-6.352 -0.893 5.972
-4.071 -2.207 7.441
Cu Al Cd
1 2 1
Direct
0.750 0.750 0.750
0.490 0.490 0.490
0.010 0.010 0.010
0.250 0.250 0.250

[14]
KSr4Si (GGA-PBE, relaxed); DFT total energy = -1.657 eV/atom; formation energy (no corrections) = 0.551 eV per atom; Fermi-level density of states = 8.3 states/eV/cell; spin magnetization = 0.000 μB per atom
1.0
3.981 0.367 6.360
-2.194 -3.899 6.035
3.985 -5.944 2.285
Sr K Si
4 1 1
Direct
0.879 0.374 0.374
0.374 0.374 0.879
0.374 0.879 0.374
0.374 0.374 0.374
0.750 0.750 0.750
0.000 0.000 0.000

[15]
K8SbTe6 (GGA-PBE, relaxed); DFT total energy = -2.894 eV/atom; formation energy (no corrections) = -0.777 eV per atom; Fermi-level density of states = 8.1 states/eV/cell; spin magnetization = 0.000 μB per atom
1.0
10.304 0.000 0.000
0.000 9.888 0.000
0.000 0.000 13.996
Te K Sb
12 16 2
Direct
0.801 0.500 0.239
0.708 0.000 0.014
0.239 0.260 0.111
0.292 0.500 0.514
0.199 0.000 0.739
0.006 0.500 0.863
0.761 0.240 0.611
0.450 0.500 0.878
0.994 0.000 0.363
0.550 0.000 0.378
0.761 0.760 0.611
0.239 0.740 0.111
0.891 0.826 0.842
0.083 0.694 0.649
0.634 0.500 0.457
0.109 0.674 0.342
0.891 0.174 0.842
0.558 0.236 0.194
0.083 0.306 0.649
0.558 0.764 0.194
0.109 0.326 0.342
0.917 0.194 0.149
0.442 0.736 0.694
0.442 0.264 0.694
0.729 0.500 0.001
0.917 0.806 0.149
0.271 0.000 0.501
0.366 0.000 0.957
0.771 0.000 0.495
0.229 0.500 0.995

[16]
NaOsSCl2 (GGA-PBE, relaxed); distance to the lowest polymorph of the same formula = 1.431 eV per atom; DFT total energy = -2.982 eV/atom; formation energy (no corrections) = 1.092 eV per atom; Fermi-level density of states = 4.4 states/eV/cell; spin magnetization = 1.014 μB per atom
1.0
4.758 0.000 0.000
0.000 4.758 0.000
0.000 0.000 5.271
Na S Cl Os
1 1 2 1
Direct
0.000 0.000 0.000
0.000 0.000 0.500
0.500 0.000 0.000
0.000 0.500 0.000
0.500 0.500 0.500

[17]
Pm2Zn2Co (GGA-PBE, relaxed); DFT total energy = -4.081 eV/atom; Fermi-level density of states = 7.5 states/eV/cell; spin magnetization = 0.000 μB per atom; energy of formation from the pure elements = -250 meV per atom
1.0
-2.480 1.675 -2.339
-5.204 0.466 2.766
1.707 10.140 2.367
Zn Pm Co
4 4 2
Direct
0.376 0.132 0.116
0.624 0.868 0.884
0.965 0.659 0.412
0.035 0.341 0.588
0.910 0.301 0.880
0.284 0.790 0.641
0.090 0.699 0.120
0.716 0.210 0.359
0.578 0.148 0.697
0.422 0.852 0.303

[18]
Na8B13C3 (GGA-PBE, relaxed); distance to the lowest polymorph of the same formula = 0.047 eV per atom; DFT total energy = -4.981 eV/atom; Fermi-level density of states = 8.2 states/eV/cell; spin magnetization = 0.000 μB per atom; energy of formation from the pure elements = 229 meV per atom
1.0
2.945 0.000 0.000
-1.473 2.551 0.000
0.000 0.000 34.347
Na B C
8 13 3
Direct
0.000 0.000 0.629
0.000 0.000 0.996
0.000 0.000 0.249
0.000 0.000 0.503
0.000 0.000 0.874
0.000 0.000 0.376
0.000 0.000 0.751
0.000 0.000 0.122
0.333 0.667 0.059
0.667 0.333 0.812
0.333 0.667 0.186
0.333 0.667 0.935
0.333 0.667 0.690
0.667 0.333 0.439
0.667 0.333 0.566
0.667 0.333 0.312
0.667 0.333 0.186
0.333 0.667 0.439
0.333 0.667 0.312
0.667 0.333 0.059
0.333 0.667 0.566
0.667 0.333 0.935
0.333 0.667 0.812
0.667 0.333 0.690

[19]
CdAgSe (GGA-PBE, relaxed); distance to the lowest polymorph of the same formula = 0.259 eV per atom; DFT total energy = -2.308 eV/atom; formation energy (no corrections) = 0.109 eV per atom; Fermi-level density of states = 2.2 states/eV/cell; spin magnetization = 0.000 μB per atom
1.0
6.552 -0.066 0.057
5.674 3.047 0.190
0.878 -0.341 3.097
Se Ag Cd
1 1 1
Direct
0.664 0.664 0.336
0.000 0.000 0.000
0.336 0.336 0.664

[20]
AcScAu (GGA-PBE, relaxed); distance to the lowest polymorph of the same formula = 0.163 eV per atom; DFT total energy = -5.007 eV/atom; Fermi-level density of states = 3.5 states/eV/cell; spin magnetization = 0.000 μB per atom; energy of formation from the pure elements = -435 meV per atom
1.0
-4.419 -1.437 -0.940
1.289 -4.433 0.718
-1.594 2.575 3.558
Au Sc Ac
1 1 1
Direct
0.167 0.000 0.000
0.167 0.333 0.667
0.667 0.667 0.333

[21]
La2TbZn (GGA-PBE, relaxed); distance to the lowest polymorph of the same formula = 0.171 eV per atom; DFT total energy = -3.926 eV/atom; Fermi-level density of states = 5.9 states/eV/cell; spin magnetization = 0.000 μB per atom; energy of formation from the pure elements = 14 meV per atom
1.0
-4.255 0.323 3.536
0.883 -0.491 5.449
-0.529 4.419 3.302
Zn La Tb
1 2 1
Direct
0.500 0.500 0.500
0.750 0.750 0.750
0.250 0.250 0.250
0.000 0.000 0.000

[22]
AcGdDyPu (GGA-PBE, relaxed); DFT total energy = -9.057 eV/atom; Fermi-level density of states = 12.7 states/eV/cell; spin magnetization = 3.643 μB per atom; energy of formation from the pure elements = 224 meV per atom
1.0
5.767 0.000 0.000
2.884 4.994 0.000
2.884 1.665 4.709
Gd Pu Ac Dy
1 1 1 1
Direct
0.500 0.500 0.500
0.000 0.000 0.000
0.250 0.250 0.250
0.750 0.750 0.750

[23]
BaPt2Br (GGA-PBE, relaxed); distance to the lowest polymorph of the same formula = 0.370 eV per atom; DFT total energy = -4.162 eV/atom; formation energy (no corrections) = -0.243 eV per atom; Fermi-level density of states = 1.6 states/eV/cell; spin magnetization = 0.000 μB per atom
1.0
6.028 -0.022 -0.015
4.084 4.433 -0.015
4.084 1.782 4.060
Br Pt Ba
1 2 1
Direct
0.750 0.750 0.750
0.064 0.064 0.064
0.436 0.436 0.436
0.250 0.250 0.250